Record 1
DFT (GGA-PBEsol) results for an optimized crystal structure of KHgAs2W.

The space group is P4/mmm (No. 123) and the conventional cell measures 5.153, 5.153 and 5.352 Å, with angles of 90.00, 90.00 and 90.00 degrees. The inequivalent atoms are K at (0.000, 0.000, 0.000), Hg at (0.000, 0.000, 0.500), As at (0.000, 0.500, 0.500) and W at (0.500, 0.500, 0.000).

The calculation puts the density at 6.7 Mg/m³. The value obtained for the energy of formation from the pure elements is 1.748 eV/atom.



Record 2
DFT (GGA-PBEsol) results for an optimized crystal structure of La2HgAs.

The space group is Amm2 (No. 38) and the conventional cell measures 4.358, 4.419 and 11.498 Å, with angles of 90.00, 90.00 and 90.00 degrees. The inequivalent atoms are La at (0.000, 0.000, 0.000), La at (0.500, 0.000, 0.276), Hg at (0.500, 0.000, 0.555) and As at (0.000, 0.000, 0.732).

The energy above the most stable polymorph in this dataset comes out at 61 meV/atom. The calculation puts the density at 8.3 Mg/m³. The value obtained for the energy of formation from the pure elements is -0.887 eV/atom.



Record 3
DFT (GGA-PBEsol) results for an optimized crystal structure of La2HgAs.

The space group is Imm2 (No. 44) and the conventional cell measures 4.079, 4.734 and 10.824 Å, with angles of 90.00, 90.00 and 90.00 degrees. The inequivalent atoms are La at (0.000, 0.000, 0.000), La at (0.000, 0.500, 0.231), Hg at (0.000, 0.000, 0.451) and As at (0.000, 0.500, 0.740).

The energy above the most stable polymorph in this dataset comes out at 160 meV/atom. The calculation puts the density at 8.8 Mg/m³. The value obtained for the energy of formation from the pure elements is -0.788 eV/atom.



Record 4
DFT (GGA-PBEsol) results for an optimized crystal structure of LaHgAs.

The space group is F-43m (No. 216) and the conventional cell measures 6.937, 6.937 and 6.937 Å, with angles of 90.00, 90.00 and 90.00 degrees. The inequivalent atoms are La at (0.000, 0.000, 0.000), Hg at (0.000, 0.000, 0.500) and As at (0.250, 0.250, 0.250).

The calculation puts the density at 8.2 Mg/m³. The value obtained for the energy of formation from the pure elements is -0.591 eV/atom.



Record 5
DFT (GGA-PBEsol) results for an optimized crystal structure of La2HgAs.

The space group is R-3m (No. 166, hexagonal axes) and the conventional cell measures 4.2443, 4.2443 and 23.2092 Å, with angles of 90.00, 90.00 and 120.00 degrees. The inequivalent atoms are La at (0.0000, 0.0000, 0.2403), Hg at (0.0000, 0.0000, 0.0000) and As at (0.0000, 0.0000, 0.5000).

The energy above the most stable polymorph in this dataset comes out at 0 meV/atom. The calculation puts the density at 7.6 Mg/m³. The value obtained for the energy of formation from the pure elements is -0.948 eV/atom.



Record 6
DFT (GGA-PBEsol) results for an optimized crystal structure of La4HgAs.

The space group is F-43m (No. 216) and the conventional cell measures 8.811, 8.811 and 8.811 Å, with angles of 90.00, 90.00 and 90.00 degrees. The inequivalent atoms are La at (0.124, 0.124, 0.124), Hg at (0.000, 0.000, 0.500) and As at (0.250, 0.250, 0.750).

The calculation puts the density at 8.1 Mg/m³. The value obtained for the energy of formation from the pure elements is 0.066 eV/atom.



Record 7
DFT (GGA-PBEsol) results for an optimized crystal structure of La2HgAs.

The space group is Fm-3m (No. 225) and the conventional cell measures 7.483, 7.483 and 7.483 Å, with angles of 90.00, 90.00 and 90.00 degrees. The inequivalent atoms are La at (0.250, 0.250, 0.250), Hg at (0.000, 0.000, 0.000) and As at (0.000, 0.000, 0.500).

The energy above the most stable polymorph in this dataset comes out at 136 meV/atom. The calculation puts the density at 8.8 Mg/m³. The value obtained for the energy of formation from the pure elements is -0.812 eV/atom.



Record 8
DFT (GGA-PBEsol) results for an optimized crystal structure of La3HgAs.

The space group is Pm-3m (No. 221) and the conventional cell measures 5.625, 5.625 and 5.625 Å, with angles of 90.00, 90.00 and 90.00 degrees. The inequivalent atoms are La at (0.000, 0.000, 0.500), Hg at (0.500, 0.500, 0.500) and As at (0.000, 0.000, 0.000).

The calculation puts the density at 6.5 Mg/m³. The value obtained for the energy of formation from the pure elements is -0.420 eV/atom.



Record 9
DFT (GGA-PBEsol) results for an optimized crystal structure of Li2LaHgAs.

The space group is P4/mmm (No. 123) and the conventional cell measures 6.552, 6.552 and 5.403 Å, with angles of 90.00, 90.00 and 90.00 degrees. The inequivalent atoms are Li at (0.000, 0.500, 0.000), La at (0.000, 0.000, 0.000), Hg at (0.500, 0.500, 0.500) and As at (0.000, 0.000, 0.500).

The calculation puts the density at 3.1 Mg/m³. The value obtained for the energy of formation from the pure elements is 0.604 eV/atom.



Record 10
DFT (GGA-PBEsol) results for an optimized crystal structure of La2HgMoAs.

The space group is P4/mmm (No. 123) and the conventional cell measures 5.840, 5.840 and 4.888 Å, with angles of 90.00, 90.00 and 90.00 degrees. The inequivalent atoms are La at (0.000, 0.500, 0.000), Hg at (0.000, 0.000, 0.000), Mo at (0.500, 0.500, 0.500) and As at (0.000, 0.000, 0.500).

The calculation puts the density at 6.5 Mg/m³. The value obtained for the energy of formation from the pure elements is 1.095 eV/atom.



Record 11
DFT (GGA-PBEsol) results for an optimized crystal structure of LiHg3As.

The space group is Pm-3m (No. 221) and the conventional cell measures 5.279, 5.279 and 5.279 Å, with angles of 90.00, 90.00 and 90.00 degrees. The inequivalent atoms are Li at (0.000, 0.000, 0.000), Hg at (0.000, 0.500, 0.500) and As at (0.500, 0.500, 0.500).

The calculation puts the density at 7.7 Mg/m³. The value obtained for the energy of formation from the pure elements is 0.226 eV/atom.



Record 12
DFT (GGA-PBEsol) results for an optimized crystal structure of Li4HgAs.

The space group is F-43m (No. 216) and the conventional cell measures 7.349, 7.349 and 7.349 Å, with angles of 90.00, 90.00 and 90.00 degrees. The inequivalent atoms are Li at (0.125, 0.125, 0.125), Hg at (0.250, 0.250, 0.750) and As at (0.000, 0.000, 0.500).

The calculation puts the density at 5.1 Mg/m³. The value obtained for the energy of formation from the pure elements is -0.161 eV/atom.